The following is a PBE calculation of a relaxed CaPtAu crystal, from Alexandria.

Properties
**V**: 67 Å³/cell
**E above lowest polymorph**: 41 kJ/mol of formula units
**Formation energy**: -0.651 eV/atom

Cell and atoms, written as CIF:
```
data_CaPtAu
_chemical_formula_sum 'Ca1 Pt1 Au1'
_space_group_name_H-M_alt 'P -6 m 2'
_space_group_IT_number 187
_space_group_name_Hall 'P -6 2'
_cell_length_a 4.5765
_cell_length_b 4.5765
_cell_length_c 3.7017
_cell_angle_alpha 90.00
_cell_angle_beta 90.00
_cell_angle_gamma 120.00
loop_
_atom_site_label
_atom_site_type_symbol
_atom_site_fract_x
_atom_site_fract_y
_atom_site_fract_z
Ca1 Ca 0.0000 0.0000 0.0000
Pt1 Pt 0.3333 0.6667 0.5000
Au1 Au 0.6667 0.3333 0.5000
```